1.
The following is a GGA-PBEsol calculation of a relaxed MnBiAs2P crystal, from Alexandria.

Geometry as CIF:
```
data_MnBiAs2P
_cell_length_a 4.367
_cell_length_b 4.367
_cell_length_c 5.359
_cell_angle_alpha 90.00
_cell_angle_beta 90.00
_cell_angle_gamma 90.00
_space_group_name_H-M_alt 'P 1'
_space_group_IT_number 1
_space_group_name_Hall 'P 1'
loop_
_atom_site_label
_atom_site_type_symbol
_atom_site_fract_x
_atom_site_fract_y
_atom_site_fract_z
_atom_site_occupancy
Mn1 Mn 0.000 0.000 0.000 1
Bi1 Bi 0.000 0.000 0.500 1
As1 As 0.000 0.500 0.000 1
As2 As 0.500 0.000 0.000 1
P1 P 0.500 0.500 0.500 1
```

Calculated values
ρ = 7.22 Mg/m³
VASP energy = -5.5646 eV per atom
N(E_F) = 2.7 states/eV per cell
Magnetic moment = 0.0 Bohr magnetons per cell
Calculated formation energy = 445 meV/atom

=====

2.
The following is a GGA-PBEsol calculation of a relaxed MnO crystal, from Alexandria.

Geometry as CIF:
```
data_MnO
_cell_length_a 3.377
_cell_length_b 3.377
_cell_length_c 10.771
_cell_angle_alpha 90.00
_cell_angle_beta 90.00
_cell_angle_gamma 120.00
_space_group_name_H-M_alt 'P 1'
_space_group_IT_number 1
_space_group_name_Hall 'P 1'
loop_
_atom_site_label
_atom_site_type_symbol
_atom_site_fract_x
_atom_site_fract_y
_atom_site_fract_z
_atom_site_occupancy
Mn1 Mn 0.000 0.000 0.000 1
Mn2 Mn 0.000 0.000 0.500 1
Mn3 Mn 0.333 0.667 0.250 1
Mn4 Mn 0.667 0.333 0.750 1
O1 O 0.000 0.000 0.192 1
O2 O 0.000 0.000 0.692 1
O3 O 0.333 0.667 0.441 1
O4 O 0.667 0.333 0.941 1
```

Calculated values
ρ = 4.43 Mg/m³
VASP energy = -8.5708 eV per atom
Formation energy from raw total energies = -1.07 eV/atom
N(E_F) = 1.2 states/eV per cell
Magnetic moment = 20.0 Bohr magnetons per cell

=====

3.
The following is a GGA-PBEsol calculation of a relaxed GaPNO2 crystal, from Alexandria.

Geometry as CIF:
```
data_GaPNO2
_cell_length_a 3.372
_cell_length_b 3.372
_cell_length_c 3.816
_cell_angle_alpha 90.00
_cell_angle_beta 90.00
_cell_angle_gamma 90.00
_space_group_name_H-M_alt 'P 1'
_space_group_IT_number 1
_space_group_name_Hall 'P 1'
loop_
_atom_site_label
_atom_site_type_symbol
_atom_site_fract_x
_atom_site_fract_y
_atom_site_fract_z
_atom_site_occupancy
Ga1 Ga 0.000 0.000 0.000 1
P1 P 0.500 0.500 0.500 1
N1 N 0.500 0.500 0.000 1
O1 O 0.000 0.500 0.500 1
O2 O 0.500 0.000 0.500 1
```

Calculated values
ρ = 5.62 Mg/m³
VASP energy = -6.2213 eV per atom
Formation energy from raw total energies = -0.59 eV/atom
N(E_F) = 0.7 states/eV per cell
Magnetic moment = 0.0 Bohr magnetons per cell

=====

4.
The following is a GGA-PBEsol calculation of a relaxed Li2ZrPb crystal, from Alexandria.

Geometry as CIF:
```
data_Li2ZrPb
_cell_length_a 3.115
_cell_length_b 4.476
_cell_length_c 5.926
_cell_angle_alpha 90.00
_cell_angle_beta 90.00
_cell_angle_gamma 90.00
_space_group_name_H-M_alt 'P 1'
_space_group_IT_number 1
_space_group_name_Hall 'P 1'
loop_
_atom_site_label
_atom_site_type_symbol
_atom_site_fract_x
_atom_site_fract_y
_atom_site_fract_z
_atom_site_occupancy
Li1 Li 0.000 0.000 0.243 1
Li2 Li 0.000 0.000 0.757 1
Zr1 Zr 0.500 0.500 0.500 1
Pb1 Pb 0.500 0.500 0.000 1
```

Calculated values
ρ = 6.28 Mg/m³
VASP energy = -4.2427 eV per atom
N(E_F) = 2.3 states/eV per cell
Magnetic moment = 0.0 Bohr magnetons per cell
Calculated formation energy = 13 meV/atom

=====

5.
The following is a GGA-PBEsol calculation of a relaxed CeAgW2O8 crystal, from Alexandria.

Geometry as CIF:
```
data_CeAgW2O8
_cell_length_a 7.443
_cell_length_b 7.443
_cell_length_c 7.248
_cell_angle_alpha 114.74
_cell_angle_beta 114.74
_cell_angle_gamma 94.30
_space_group_name_H-M_alt 'P 1'
_space_group_IT_number 1
_space_group_name_Hall 'P 1'
loop_
_atom_site_label
_atom_site_type_symbol
_atom_site_fract_x
_atom_site_fract_y
_atom_site_fract_z
_atom_site_occupancy
Ce1 Ce 0.197 0.803 0.000 1
Ce2 Ce 0.803 0.197 0.000 1
Ag1 Ag 0.194 0.194 0.520 1
Ag2 Ag 0.806 0.806 0.480 1
W1 W 0.286 0.286 0.022 1
W2 W 0.339 0.661 0.500 1
W3 W 0.661 0.339 0.500 1
W4 W 0.714 0.714 0.978 1
O1 O 0.054 0.054 0.852 1
O2 O 0.153 0.396 0.239 1
O3 O 0.186 0.710 0.641 1
O4 O 0.197 0.452 0.903 1
O5 O 0.290 0.814 0.359 1
O6 O 0.396 0.153 0.239 1
O7 O 0.452 0.197 0.903 1
O8 O 0.480 0.480 0.663 1
O9 O 0.520 0.520 0.337 1
O10 O 0.548 0.803 0.097 1
O11 O 0.604 0.847 0.761 1
O12 O 0.710 0.186 0.641 1
O13 O 0.803 0.548 0.097 1
O14 O 0.814 0.290 0.359 1
O15 O 0.847 0.604 0.761 1
O16 O 0.946 0.946 0.148 1
```

Calculated values
ρ = 7.83 Mg/m³
VASP energy = -8.8025 eV per atom
Formation energy from raw total energies = -2.18 eV/atom
N(E_F) = 14.8 states/eV per cell
Magnetic moment = 2.1 Bohr magnetons per cell

=====

6.
The following is a GGA-PBEsol calculation of a relaxed Ba3CdO crystal, from Alexandria.

Geometry as CIF:
```
data_Ba3CdO
_cell_length_a 5.465
_cell_length_b 5.465
_cell_length_c 5.465
_cell_angle_alpha 90.00
_cell_angle_beta 90.00
_cell_angle_gamma 90.00
_space_group_name_H-M_alt 'P 1'
_space_group_IT_number 1
_space_group_name_Hall 'P 1'
loop_
_atom_site_label
_atom_site_type_symbol
_atom_site_fract_x
_atom_site_fract_y
_atom_site_fract_z
_atom_site_occupancy
Ba1 Ba 0.000 0.000 0.500 1
Ba2 Ba 0.000 0.500 0.000 1
Ba3 Ba 0.500 0.000 0.000 1
Cd1 Cd 0.500 0.500 0.500 1
O1 O 0.000 0.000 0.000 1
```

Calculated values
ρ = 5.50 Mg/m³
VASP energy = -3.6832 eV per atom
Formation energy from raw total energies = -1.10 eV/atom
N(E_F) = 4.5 states/eV per cell
Magnetic moment = 0.0 Bohr magnetons per cell